i.
SbTe2PH: relaxed, GGA-PBE.

a = 5.416 Å, b = 5.416 Å, c = 5.111 Å
α = 90.00°, β = 90.00°, γ = 90.00°
Space group P4/mmm (No. 123)
Symmetry-distinct sites (fractional):
Sb1 0.000 0.000 0.000 x1
Te1 0.000 0.500 0.500 x2
P1 0.000 0.000 0.500 x1
H1 0.500 0.500 0.000 x1

***

ii.
SbTe2PH: relaxed, GGA-PBE.

a = 5.253 Å, b = 5.253 Å, c = 3.841 Å
α = 90.00°, β = 90.00°, γ = 90.00°
Space group P4/mmm (No. 123)
Symmetry-distinct sites (fractional):
Sb1 0.000 0.000 0.000 x1
Te1 0.000 0.500 0.500 x2
P1 0.500 0.500 0.000 x1
H1 0.000 0.000 0.500 x1

***

Computed relative energies in units of meV per atom: i 257; ii 0